An optimized crystal structure of TaAgTe. Source: Alexandria via LeMat-Bulk, functional PBE.

Geometry as CIF:
```
data_TaAgTe
_chemical_formula_sum 'Ta1 Ag1 Te1'
_space_group_name_H-M_alt 'P 1'
_space_group_IT_number 1
_cell_length_a 3.348
_cell_length_b 3.348
_cell_length_c 7.033
_cell_angle_alpha 90.00
_cell_angle_beta 90.00
_cell_angle_gamma 120.00
loop_
_space_group_symop_operation_xyz
'x,y,z'
loop_
_atom_site_label
_atom_site_fract_x
_atom_site_fract_y
_atom_site_fract_z
_atom_site_occupancy
Ta1 0.000 0.000 0.000 1
Ag1 0.667 0.333 0.688 1
Te1 0.333 0.667 0.279 1
```

Summary:
density of states at the Fermi level: 1.4 states/eV per cell
E_form (uncorrected): 79 kJ/mol of formula units
energy relative to the lowest polymorph listed for this composition: 0.0000 eV per atom
magnetic moment: 0.00 μB per atom
electronic total energy: -5.68 eV per atom